Entry 1:
# As2PtPb

A geometry-optimized As2PtPb structure (PBE, the Alexandria database).

Values from the calculation:
**Space group**: No. 12
**Calculated total energy**: -4.48 eV/atom
**ΔH_f (0 K)**: 27 kJ/mol of atoms
**Size of the total moment**: 0.0 Bohr magnetons per cell

POSCAR file:
```
As2PtPb
1.0
6.998 0.329 1.052
-2.711 3.862 0.047
1.577 1.046 3.341
Pb As Pt
1 2 1
Direct
0.000 0.500 0.500 Pb
0.000 0.000 0.000 As
0.500 0.000 0.500 As
0.500 0.500 0.000 Pt
```

Entry 2:
# CaTa2Cd

A geometry-optimized CaTa2Cd structure (PBE, the Alexandria database).

Values from the calculation:
**Space group**: No. 47
**Calculated total energy**: -6.14 eV/atom
**ΔH_f (0 K)**: 50 kJ/mol of atoms
**Size of the total moment**: 0.0 Bohr magnetons per cell

POSCAR file:
```
CaTa2Cd
1.0
-2.362 -0.872 2.093
-2.190 -2.463 -3.496
2.810 -4.398 1.338
Ca Cd Ta
1 1 2
Direct
0.500 0.000 0.500 Ca
0.000 0.500 0.500 Cd
0.000 0.000 0.000 Ta
0.500 0.500 0.000 Ta
```